5
Lattice="-0.217 1.558 5.822 -3.901 -3.081 0.679 3.786 -4.498 1.345" Properties=species:S:1:pos:R:3 comment="LaTiPb2I PBE relaxed" vol_a3_per_atom=36.5 e_form_raw_mev_per_atom=512 pbc="T T T"
Ti -1.950 -1.540 0.340
Pb -0.109 0.779 2.911
Pb 1.893 -2.249 0.672
La -0.166 -3.010 3.923
I 0.000 0.000 0.000